Entry 1:
PuScSn6 | GGA-PBE | relaxed

V, Å³/cell: 200.5
E_form, eV/atom: -0.32
Magnetization, μB per atom: 0.6883
Density, g cm⁻³: 8.3

Cell lengths 4.7355, 4.7368, 8.9370 Å; angles 89.99, 90.00, 90.00 degrees
With the nearest neighbours (Å) after each atom.
Atoms (fractional coordinates):
Pu: 0.0000 0.0000 0.5000  12 Sn 3.29-3.35
Sc: 0.0000 0.9999 0.0000  12 Sn 3.22-3.35
Sn: 0.5000 0.5000 0.0000  8 Sn 3.22, 4 Sc 3.35
Sn: 0.5000 0.5000 0.5000  8 Sn 3.29, 4 Pu 3.35
Sn: 0.5000 0.0000 0.2442  2 Sc 3.22, 8 Sn 3.22-3.35, 2 Pu 3.29
Sn: 0.5000 0.0001 0.7558  2 Sc 3.22, 8 Sn 3.22-3.35, 2 Pu 3.29
Sn: 0.0000 0.4999 0.2442  8 Sn 3.22-3.35, 2 Sc 3.22, 2 Pu 3.29
Sn: 0.0000 0.5001 0.7558  8 Sn 3.22-3.35, 2 Sc 3.22, 2 Pu 3.29


Entry 2:
InCu2Ge | GGA-PBE | relaxed

V, Å³/cell: 145.8
E_form, eV/atom: 0.31
Magnetization, μB per atom: 0.0000
Density, g cm⁻³: 7.2

Cell lengths 7.1313, 7.1313, 5.8002 Å; angles 52.07, 52.07, 90.00 degrees
With the nearest neighbours (Å) after each atom.
Atoms (fractional coordinates):
Ge: 0.5000 0.5000 0.0000  4 Cu 2.47
Ge: 0.2500 0.7500 0.5000  4 Cu 2.47
Cu: 0.5919 0.1250 0.2500  2 Ge 2.47
Cu: 0.1581 0.6250 0.2500  2 Ge 2.47
Cu: 0.3750 0.4081 0.7500  2 Ge 2.47
Cu: 0.8750 0.8419 0.7500  2 Ge 2.47
In: 0.0000 0.0000 0.0000  4 Cu 2.79, 2 Ge 2.87
In: 0.7500 0.2500 0.5000  4 Cu 2.79, 2 Ge 2.87


Entry 3:
Dy3BeGe2 | GGA-PBE | relaxed

V, Å³/cell: 529.6
E_form, eV/atom: -0.68
Magnetization, μB per atom: 0.0000
Density, g cm⁻³: 8.0

Cell lengths 4.0665, 11.5202, 11.3040 Å; angles 90.00, 90.00, 90.00 degrees
With the nearest neighbours (Å) after each atom.
Atoms (fractional coordinates):
Dy: 0.2500 0.3783 0.0638  1 Be 2.90, 5 Ge 2.95-3.16
Dy: 0.7500 0.6217 0.9362  1 Be 2.90, 5 Ge 2.95-3.16
Dy: 0.7500 0.8783 0.4362  1 Be 2.90, 5 Ge 2.95-3.16
Dy: 0.2500 0.1217 0.5638  1 Be 2.90, 5 Ge 2.95-3.16
Dy: 0.2500 0.7027 0.2050  2 Be 2.82, 4 Ge 2.98-3.00
Dy: 0.7500 0.2973 0.7950  2 Be 2.82, 4 Ge 2.98-3.00
Dy: 0.7500 0.2027 0.2950  2 Be 2.82, 4 Ge 2.98-3.00
Dy: 0.2500 0.7973 0.7050  2 Be 2.82, 4 Ge 2.98-3.00
Dy: 0.2500 0.4407 0.3780  5 Ge 2.96-3.03, 3 Be 3.04-3.05
Dy: 0.7500 0.5593 0.6220  5 Ge 2.96-3.03, 3 Be 3.04-3.05
Dy: 0.7500 0.9407 0.1220  5 Ge 2.96-3.03, 3 Be 3.04-3.05
Dy: 0.2500 0.0593 0.8780  5 Ge 2.96-3.03, 3 Be 3.04-3.05
Be: 0.2500 0.1370 0.1354  3 Ge 2.41
Be: 0.7500 0.8630 0.8646  3 Ge 2.41
Be: 0.7500 0.6370 0.3646  3 Ge 2.41
Be: 0.2500 0.3630 0.6354  3 Ge 2.41
Ge: 0.2500 0.6818 0.4691  2 Be 2.41
Ge: 0.7500 0.3182 0.5309  2 Be 2.41
Ge: 0.7500 0.1818 0.0309  2 Be 2.41
Ge: 0.2500 0.8182 0.9691  2 Be 2.41
Ge: 0.2500 0.0131 0.3069  1 Be 2.41
Ge: 0.7500 0.9869 0.6931  1 Be 2.41
Ge: 0.7500 0.5131 0.1931  1 Be 2.41
Ge: 0.2500 0.4869 0.8069  1 Be 2.41


Entry 4:
CrMoBr | GGA-PBE | relaxed

V, Å³/cell: 49.7
Energy relative to the lowest polymorph listed for this composition, meV/atom: 907.9
Energy relative to the elements, uncorrected, kJ/mol of formula units: 297
Magnetization, μB per atom: 0.0121
Density, g cm⁻³: 7.6

Cell lengths 4.1279, 4.1279, 4.1279 Å; angles 60.00, 60.00, 60.00 degrees
With the nearest neighbours (Å) after each atom.
Atoms (fractional coordinates):
Br: 0.5000 0.5000 0.5000  4 Cr 2.53
Cr: 0.7500 0.7500 0.7500  4 Mo 2.53, 4 Br 2.53
Mo: 0.0000 0.0000 0.0000  4 Cr 2.53


Computed DOS(E_F) (states/eV/f.u.) in order:
10.27, 1.65, 4.00, 3.81